Entry from the Alexandria database: crystalline Cd2FeRe at its relaxed geometry (GGA-PBE).

Output
- DFT total energy: -20.43 eV/cell
- Density of states at the Fermi level: 0.6814 states/eV per atom
- Offset from the most stable computed form: 0.333 eV/atom
- Energy of formation: 0.579 eV/atom
- Space-group type: P4/mmm

```
Cd2FeRe
1.0
2.741 0.000 0.000
0.000 2.741 0.000
0.000 0.000 8.887
Cd Fe Re
2 1 1
Direct
0.000 0.000 0.011
0.000 0.000 0.489
0.500 0.500 0.250
0.500 0.500 0.750
```